# 1
Entry from Alexandria via LeMat-Bulk: Y3TlRu after structural relaxation (GGA-PBE).

a = 5.3328 Å, b = 5.3328 Å, c = 5.3328 Å
α = 90.00°, β = 90.00°, γ = 90.00°
Closest atoms and distances in Å follow each position.
Element x y z (fractional)
Y 0.0000 0.0000 0.5000  2 Ru 2.67
Y 0.0000 0.5000 0.0000  2 Ru 2.67
Y 0.5000 0.0000 0.0000  2 Ru 2.67
Tl 0.5000 0.5000 0.5000  12 Y 3.77
Ru 0.0000 0.0000 0.0000  6 Y 2.67

Spin magnetization   0.0000 μB per atom
Density of states at the Fermi level   0.750 states/eV/atom
Theoretical density   6.265 g/cm3
Energy relative to the elements   -154.3 meV per atom
ΔE to the lowest computed polymorph   0.98 eV/f.u.

# 2
Entry from Alexandria via LeMat-Bulk: HfVZn2B after structural relaxation (GGA-PBE).

a = 4.5269 Å, b = 4.5269 Å, c = 3.9869 Å
α = 90.00°, β = 90.00°, γ = 90.00°
Closest atoms and distances in Å follow each position.
Element x y z (fractional)
Hf 0.0000 0.0000 0.0000  8 Zn 3.02, 4 B 3.20
V 0.5000 0.5000 0.5000  2 B 1.99
Zn 0.0000 0.5000 0.5000  2 V 2.26
Zn 0.5000 0.0000 0.5000  2 V 2.26
B 0.5000 0.5000 0.0000  2 V 1.99

Spin magnetization   0.0021 μB per atom
Density of states at the Fermi level   0.277 states/eV/atom
Theoretical density   7.542 g/cm3
Energy relative to the elements   735.7 meV per atom

# 3
Entry from Alexandria via LeMat-Bulk: Pm7PrEr3 after structural relaxation (GGA-PBE).

a = 7.7722 Å, b = 7.7722 Å, c = 6.4338 Å
α = 94.55°, β = 94.55°, γ = 81.49°
Closest atoms and distances in Å follow each position.
Element x y z (fractional)
Pm 0.0000 0.0000 0.0000  2 Pr 3.22, 2 Er 3.36, 2 Pm 3.54
Pm 0.0769 0.4273 0.2593  6 Pm 3.31-3.70, 3 Er 3.51-3.62
Pm 0.2652 0.2652 0.7873  5 Pm 3.31-3.54, 3 Er 3.41-3.48, 1 Pr 3.46
Pm 0.4273 0.0769 0.2593  6 Pm 3.31-3.70, 3 Er 3.51-3.62
Pm 0.5727 0.9231 0.7407  6 Pm 3.31-3.70, 3 Er 3.51-3.62
Pm 0.7348 0.7348 0.2127  5 Pm 3.31-3.54, 3 Er 3.41-3.48, 1 Pr 3.46
Pm 0.9231 0.5727 0.7407  6 Pm 3.31-3.70, 3 Er 3.51-3.62
Pr 0.0000 0.0000 0.5000  4 Pm 3.22-3.46
Er 0.3314 0.6686 0.0000  7 Pm 3.36-3.62, 3 Er 3.42-3.64
Er 0.5000 0.5000 0.5000  6 Pm 3.48-3.62, 4 Er 3.64
Er 0.6686 0.3314 0.0000  7 Pm 3.36-3.62, 3 Er 3.42-3.64

Spin magnetization   0.0000 μB per atom
Density of states at the Fermi level   1.359 states/eV/atom
Theoretical density   7.201 g/cm3
Energy relative to the elements   224.4 meV per atom
ΔE to the lowest computed polymorph   0.37 eV/f.u.

# 4
Entry from Alexandria via LeMat-Bulk: SiHCl after structural relaxation (GGA-PBE).

a = 11.1340 Å, b = 2.9462 Å, c = 3.0451 Å
α = 90.00°, β = 105.31°, γ = 90.00°
Closest atoms and distances in Å follow each position.
Element x y z (fractional)
Si 0.0000 0.0000 0.0000  2 H 1.74
Si 0.5000 0.5000 0.0000  2 H 1.74
H 0.0790 0.0000 0.5763  2 Si 1.74
H 0.5790 0.5000 0.5763  2 Si 1.74
Cl 0.3367 0.5000 0.3425  2 Si 2.32
Cl 0.8367 0.0000 0.3425  2 Si 2.32

Spin magnetization   0.0000 μB per atom
Density of states at the Fermi level   0.163 states/eV/atom
Theoretical density   2.225 g/cm3
ΔE to the lowest computed polymorph   1.60 eV/f.u.

# 5
Entry from Alexandria via LeMat-Bulk: Ca5Cu6O12 after structural relaxation (GGA-PBE).

a = 5.4684 Å, b = 6.4641 Å, c = 17.0255 Å
α = 90.00°, β = 104.80°, γ = 90.00°
Closest atoms and distances in Å follow each position.
Element x y z (fractional)
Ca 0.0000 0.2425 0.2500  4 O 2.31-2.32
Ca 0.0000 0.7575 0.7500  4 O 2.31-2.32
Ca 0.0052 0.2488 0.4520  6 O 2.34-2.42
Ca 0.0052 0.7512 0.9520  6 O 2.34-2.42
Ca 0.0104 0.2551 0.8548  6 O 2.32-2.55
Ca 0.0104 0.7449 0.3548  6 O 2.32-2.55
Ca 0.9896 0.2551 0.6452  6 O 2.32-2.55
Ca 0.9896 0.7449 0.1452  6 O 2.32-2.55
Ca 0.9948 0.2488 0.0480  6 O 2.34-2.42
Ca 0.9948 0.7512 0.5480  6 O 2.34-2.42
Cu 0.4944 0.0149 0.6660  4 O 1.90-1.92
Cu 0.4939 0.4880 0.0823  4 O 1.93-1.99
Cu 0.4939 0.5120 0.5823  4 O 1.93-1.99
Cu 0.4944 0.9851 0.1660  4 O 1.90-1.92
Cu 0.5000 0.0000 0.0000  4 O 1.96-2.00
Cu 0.5000 0.0000 0.5000  4 O 1.96-2.00
Cu 0.5000 0.4853 0.2500  4 O 1.87-1.90
Cu 0.5000 0.5147 0.7500  4 O 1.87-1.90
Cu 0.5056 0.0149 0.8340  4 O 1.90-1.92
Cu 0.5061 0.4880 0.4177  4 O 1.93-1.99
Cu 0.5061 0.5120 0.9177  4 O 1.93-1.99
Cu 0.5056 0.9851 0.3340  4 O 1.90-1.92
O 0.2478 0.0565 0.5645  2 Cu 1.92-2.00
O 0.2478 0.9435 0.0645  2 Cu 1.92-2.00
O 0.2510 0.4528 0.1503  2 Cu 1.90-1.99
O 0.2510 0.5472 0.6503  2 Cu 1.90-1.99
O 0.2522 0.4427 0.9775  2 Cu 1.95-1.97
O 0.2522 0.5573 0.4775  2 Cu 1.95-1.97
O 0.2602 0.0275 0.7318  2 Cu 1.91
O 0.2602 0.9725 0.2318  2 Cu 1.91
O 0.2621 0.0403 0.3936  2 Cu 1.90-1.96
O 0.2621 0.9597 0.8936  2 Cu 1.90-1.96
O 0.2662 0.4948 0.8129  2 Cu 1.87-1.93
O 0.2662 0.5052 0.3129  2 Cu 1.87-1.93
O 0.7338 0.4948 0.6871  2 Cu 1.87-1.93
O 0.7338 0.5052 0.1871  2 Cu 1.87-1.93
O 0.7379 0.0403 0.1064  2 Cu 1.90-1.96
O 0.7379 0.9597 0.6064  2 Cu 1.90-1.96
O 0.7398 0.0275 0.7682  2 Cu 1.91
O 0.7398 0.9725 0.2682  2 Cu 1.91
O 0.7478 0.4427 0.5225  2 Cu 1.95-1.97
O 0.7478 0.5573 0.0225  2 Cu 1.95-1.97
O 0.7490 0.4528 0.3497  2 Cu 1.90-1.99
O 0.7490 0.5472 0.8497  2 Cu 1.90-1.99
O 0.7522 0.0565 0.9355  2 Cu 1.92-2.00
O 0.7522 0.9435 0.4355  2 Cu 1.92-2.00

Spin magnetization   0.1762 μB per atom
Density of states at the Fermi level   0.377 states/eV/atom
E_tot   -5.71 eV per atom
Theoretical density   4.416 g/cm3

# 6
Entry from Alexandria via LeMat-Bulk: CsKInBrCl after structural relaxation (GGA-PBE).

a = 4.6492 Å, b = 4.6492 Å, c = 20.0343 Å
α = 90.00°, β = 90.00°, γ = 90.00°
Closest atoms and distances in Å follow each position.
Element x y z (fractional)
Cs 0.0000 0.0000 0.0000  4 Cl 3.38
Cs 0.5000 0.5000 0.5000  4 Cl 3.38
K 0.0000 0.0000 0.3081  1 Cl 3.06, 4 Br 3.29
K 0.5000 0.5000 0.8081  1 Cl 3.06, 4 Br 3.29
In 0.0000 0.0000 0.6499  1 Br 3.01
In 0.5000 0.5000 0.1499  1 Br 3.01
Br 0.0000 0.0000 0.8002  1 In 3.01, 4 K 3.29
Br 0.5000 0.5000 0.3002  1 In 3.01, 4 K 3.29
Cl 0.0000 0.0000 0.4608  1 K 3.06, 4 Cs 3.38
Cl 0.5000 0.5000 0.9608  1 K 3.06, 4 Cs 3.38

Spin magnetization   0.0000 μB per atom
Density of states at the Fermi level   0.378 states/eV/atom
Theoretical density   3.084 g/cm3
ΔE to the lowest computed polymorph   0.00 eV/f.u.

# 7
Entry from Alexandria via LeMat-Bulk: YFe4Pb after structural relaxation (GGA-PBE).

a = 5.1153 Å, b = 5.1153 Å, c = 5.1153 Å
α = 60.00°, β = 60.00°, γ = 60.00°
Closest atoms and distances in Å follow each position.
Element x y z (fractional)
Y 0.0000 0.0000 0.0000  12 Fe 3.00, 4 Pb 3.13
Fe 0.1230 0.6257 0.6257  6 Fe 2.54-2.57
Fe 0.6257 0.1230 0.6257  6 Fe 2.54-2.57
Fe 0.6257 0.6257 0.1230  6 Fe 2.54-2.57
Fe 0.6257 0.6257 0.6257  6 Fe 2.54-2.57
Pb 0.2500 0.2500 0.2500  12 Fe 3.00, 4 Y 3.13

Spin magnetization   1.3338 μB per atom
Density of states at the Fermi level   1.112 states/eV/atom
Theoretical density   9.114 g/cm3
Energy relative to the elements   62.3 meV per atom

# 8
Entry from Alexandria via LeMat-Bulk: La6Pr3Hg after structural relaxation (GGA-PBE).

a = 10.8996 Å, b = 5.4262 Å, c = 12.1170 Å
α = 90.00°, β = 103.04°, γ = 90.00°
Closest atoms and distances in Å follow each position.
Element x y z (fractional)
La 0.0529 0.2500 0.0780  1 Hg 3.32, 5 La 3.36-3.58, 3 Pr 3.49-3.71
La 0.1239 0.2500 0.5061  4 Pr 3.63-3.72, 8 La 3.69-3.84
La 0.1780 0.7500 0.7180  2 Hg 3.30, 3 La 3.68-3.69
La 0.2664 0.7500 0.0741  4 La 3.55-3.65, 2 Hg 3.57, 6 Pr 3.59-3.78
La 0.3731 0.7500 0.5065  4 Pr 3.62-3.69, 8 La 3.68-3.90
La 0.4322 0.2500 0.7192  1 Hg 3.36, 2 Pr 3.65, 4 La 3.65-3.75
La 0.5678 0.7500 0.2808  1 Hg 3.36, 2 Pr 3.65, 4 La 3.65-3.75
La 0.6269 0.2500 0.4935  4 Pr 3.62-3.69, 8 La 3.68-3.90
La 0.7336 0.2500 0.9259  4 La 3.55-3.65, 2 Hg 3.57, 6 Pr 3.59-3.78
La 0.8220 0.2500 0.2820  2 Hg 3.30, 3 La 3.68-3.69
La 0.8761 0.7500 0.4939  4 Pr 3.63-3.72, 8 La 3.69-3.84
La 0.9471 0.7500 0.9220  1 Hg 3.32, 5 La 3.36-3.58, 3 Pr 3.49-3.71
Pr 0.0748 0.7500 0.2902  1 Hg 3.36, 7 La 3.63-3.72
Pr 0.3225 0.2500 0.2972  9 La 3.49-3.85, 3 Pr 3.52-3.81
Pr 0.4827 0.2500 0.0758  1 Hg 3.33, 3 Pr 3.35-3.52, 5 La 3.59-3.65
Pr 0.5173 0.7500 0.9242  1 Hg 3.33, 3 Pr 3.35-3.52, 5 La 3.59-3.65
Pr 0.6775 0.7500 0.7028  9 La 3.49-3.85, 3 Pr 3.52-3.81
Pr 0.9252 0.2500 0.7098  1 Hg 3.36, 7 La 3.63-3.72
Hg 0.2162 0.2500 0.8776  6 La 3.30-3.57, 2 Pr 3.33-3.36
Hg 0.7838 0.7500 0.1224  6 La 3.30-3.57, 2 Pr 3.33-3.36

Spin magnetization   0.0000 μB per atom
Density of states at the Fermi level   1.512 states/eV/atom
Theoretical density   6.929 g/cm3
Energy relative to the elements   -63.7 meV per atom
ΔE to the lowest computed polymorph   0.00 eV/f.u.

# 9
Entry from Alexandria via LeMat-Bulk: HoTiMnSi2 after structural relaxation (GGA-PBE).

a = 3.9073 Å, b = 3.9073 Å, c = 10.9991 Å
α = 90.00°, β = 90.00°, γ = 90.00°
Closest atoms and distances in Å follow each position.
Element x y z (fractional)
Ho 0.0000 0.0000 0.0000  8 Si 3.01, 4 Mn 3.37, 4 Ti 3.37
Ho 0.5000 0.5000 0.5000  8 Si 3.01, 4 Mn 3.37, 4 Ti 3.37
Ti 0.0000 0.5000 0.2500  4 Si 2.49, 4 Mn 2.76
Ti 0.5000 0.0000 0.7500  4 Si 2.49, 4 Mn 2.76
Mn 0.0000 0.5000 0.7500  4 Si 2.49, 4 Ti 2.76
Mn 0.5000 0.0000 0.2500  4 Si 2.49, 4 Ti 2.76
Si 0.0000 0.0000 0.3909  1 Si 2.40, 2 Mn 2.49, 2 Ti 2.49
Si 0.0000 0.0000 0.6091  1 Si 2.40, 2 Mn 2.49, 2 Ti 2.49
Si 0.5000 0.5000 0.1091  1 Si 2.40, 2 Mn 2.49, 2 Ti 2.49
Si 0.5000 0.5000 0.8909  1 Si 2.40, 2 Mn 2.49, 2 Ti 2.49

Spin magnetization   0.2476 μB per atom
Density of states at the Fermi level   0.519 states/eV/atom
E_tot   -7.16 eV per atom
Theoretical density   6.406 g/cm3

# 10
Entry from Alexandria via LeMat-Bulk: KHgBr4 after structural relaxation (GGA-PBE).

a = 8.1312 Å, b = 8.1368 Å, c = 8.4068 Å
α = 109.55°, β = 111.02°, γ = 106.41°
Closest atoms and distances in Å follow each position.
Element x y z (fractional)
K 0.1257 0.3756 0.2501  8 Br 3.50-3.55
K 0.8743 0.6244 0.7499  8 Br 3.50-3.55
Hg 0.3742 0.1234 0.7507  4 Br 2.66
Hg 0.6258 0.8766 0.2493  4 Br 2.66
Br 0.0553 0.0872 0.7851  1 Hg 2.66
Br 0.2716 0.8046 0.2152  1 Hg 2.66
Br 0.3034 0.7698 0.7158  1 Hg 2.66
Br 0.4108 0.4429 0.7153  1 Hg 2.66
Br 0.5892 0.5571 0.2847  1 Hg 2.66
Br 0.6966 0.2302 0.2842  1 Hg 2.66
Br 0.7284 0.1954 0.7848  1 Hg 2.66
Br 0.9447 0.9128 0.2149  1 Hg 2.66

Spin magnetization   0.0000 μB per atom
Density of states at the Fermi level   0.273 states/eV/atom
Theoretical density   4.270 g/cm3
ΔE to the lowest computed polymorph   0.00 eV/f.u.

# 11
Entry from Alexandria via LeMat-Bulk: Pu3As2P after structural relaxation (GGA-PBE).

a = 4.0911 Å, b = 5.7932 Å, c = 12.2885 Å
α = 90.00°, β = 90.00°, γ = 90.00°
Closest atoms and distances in Å follow each position.
Element x y z (fractional)
Pu 0.0000 0.0000 0.0000  2 P 2.90, 4 As 2.92
Pu 0.0000 0.0000 0.3394  2 P 2.84, 4 As 2.90-2.93
Pu 0.0000 0.0000 0.6606  2 P 2.84, 4 As 2.90-2.93
Pu 0.5000 0.5000 0.1606  2 P 2.84, 4 As 2.90-2.93
Pu 0.5000 0.5000 0.5000  2 P 2.90, 4 As 2.92
Pu 0.5000 0.5000 0.8394  2 P 2.84, 4 As 2.90-2.93
As 0.0000 0.5000 0.3310  6 Pu 2.90-2.93
As 0.0000 0.5000 0.6690  6 Pu 2.90-2.93
As 0.5000 0.0000 0.1690  6 Pu 2.90-2.93
As 0.5000 0.0000 0.8310  6 Pu 2.90-2.93
P 0.0000 0.5000 0.0000  6 Pu 2.84-2.90
P 0.5000 0.0000 0.5000  6 Pu 2.84-2.90

Spin magnetization   2.4931 μB per atom
Density of states at the Fermi level   4.667 states/eV/atom
Theoretical density   10.409 g/cm3
Energy relative to the elements   -1055.3 meV per atom

# 12
Entry from Alexandria via LeMat-Bulk: TaRe2Sn after structural relaxation (GGA-PBE).

a = 4.0285 Å, b = 4.0285 Å, c = 19.1120 Å
α = 90.00°, β = 90.00°, γ = 90.00°
Closest atoms and distances in Å follow each position.
Element x y z (fractional)
Ta 0.0000 0.0000 0.0000  4 Re 2.70, 4 Sn 2.85
Ta 0.0000 0.5000 0.2500  4 Re 2.70, 4 Sn 2.85
Ta 0.5000 0.0000 0.7500  4 Re 2.70, 4 Sn 2.85
Ta 0.5000 0.5000 0.5000  4 Re 2.70, 4 Sn 2.85
Re 0.1885 0.2500 0.1250  2 Re 2.52, 2 Ta 2.70
Re 0.2500 0.6885 0.3750  2 Re 2.52, 2 Ta 2.70
Re 0.2500 0.8115 0.8750  2 Re 2.52, 2 Ta 2.70
Re 0.3115 0.2500 0.6250  2 Re 2.52, 2 Ta 2.70
Re 0.6885 0.7500 0.6250  2 Re 2.52, 2 Ta 2.70
Re 0.7500 0.1885 0.8750  2 Re 2.52, 2 Ta 2.70
Re 0.7500 0.3115 0.3750  2 Re 2.52, 2 Ta 2.70
Re 0.8115 0.7500 0.1250  2 Re 2.52, 2 Ta 2.70
Sn 0.0000 0.0000 0.5000  4 Ta 2.85, 4 Re 2.88
Sn 0.0000 0.5000 0.7500  4 Ta 2.85, 4 Re 2.88
Sn 0.5000 0.0000 0.2500  4 Ta 2.85, 4 Re 2.88
Sn 0.5000 0.5000 0.0000  4 Ta 2.85, 4 Re 2.88

Spin magnetization   0.0000 μB per atom
Density of states at the Fermi level   1.277 states/eV/atom
Theoretical density   14.392 g/cm3
Energy relative to the elements   858.7 meV per atom